Compound: Y2BeMoO
Source: Alexandria via LeMat-Bulk
Functional: PBE with a Hubbard U
Structure: relaxed

- Fermi-level density of states: 1.7 states/eV/f.u.
- Total magnetization: 0.03 μB/cell
- Total DFT energy (no corrections): -24.432 eV per formula unit

Lattice parameters (Å, degrees): 5.233 5.233 4.108 90.00 90.00 90.00
Space group P4/mmm (No. 123)
Unique sites:
Y 0.000 0.500 0.000 x2
Be 0.000 0.000 0.500 x1
Mo 0.000 0.000 0.000 x1
O 0.500 0.500 0.500 x1